First-principles (PBE-GGA) data for an optimized crystal structure of Cs2KSBr, as listed in Alexandria.

Unit cell a=6.708 b=6.708 c=5.942 alpha=90.00 beta=90.00 gamma=90.00
Atoms (fractional coordinates):
Cs1 0.000 0.500 0.000
Cs2 0.500 0.000 0.000
Br1 0.500 0.500 0.500
S1 0.000 0.000 0.000
K1 0.000 0.000 0.500

Output
Raw formation energy = -1.192 eV/atom
Calculated volume = 267.3 Å³/cell